(1)
A plane-wave DFT calculation with PBE was carried out for a relaxed structure of SmTh2Sc7.

a b c (Å): 11.561 11.561 3.391
angles (deg): 90.00 90.00 140.55
Fractional coordinates of all 10 atoms:
Sm1 0.000 0.000 0.000
Th1 0.249 0.751 0.500
Th2 0.751 0.249 0.500
Sc1 0.071 0.304 0.500
Sc2 0.304 0.071 0.500
Sc3 0.375 0.625 0.000
Sc4 0.500 0.500 0.500
Sc5 0.625 0.375 0.000
Sc6 0.696 0.929 0.500
Sc7 0.929 0.696 0.500

- ΔH_f (0 K) (eV/atom) = 0.388
- theoretical density (g/cm³) = 5.36

***

(2)
A plane-wave DFT calculation with PBE was carried out for a relaxed structure of SmTh3Sc4.

a b c (Å): 3.718 5.523 11.055
angles (deg): 90.00 90.00 90.00
Fractional coordinates of all 8 atoms:
Sm1 0.000 0.000 0.000
Th1 0.000 0.000 0.500
Th2 0.000 0.500 0.249
Th3 0.000 0.500 0.751
Sc1 0.500 0.000 0.254
Sc2 0.500 0.000 0.746
Sc3 0.500 0.500 0.000
Sc4 0.500 0.500 0.500

- ΔH_f (0 K) (eV/atom) = 0.049
- E above lowest polymorph (eV/f.u.) = 0.00
- theoretical density (g/cm³) = 7.51

***

(3)
A plane-wave DFT calculation with PBE was carried out for a relaxed structure of SmThSc2.

a b c (Å): 3.479 3.479 32.746
angles (deg): 90.00 90.00 120.00
Fractional coordinates of all 12 atoms:
Sm1 0.000 0.000 0.000
Sm2 0.333 0.667 0.667
Sm3 0.667 0.333 0.333
Th1 0.000 0.000 0.166
Th2 0.333 0.667 0.833
Th3 0.667 0.333 0.500
Sc1 0.000 0.000 0.581
Sc2 0.000 0.000 0.752
Sc3 0.333 0.667 0.247
Sc4 0.333 0.667 0.419
Sc5 0.667 0.333 0.085
Sc6 0.667 0.333 0.914

- ΔH_f (0 K) (eV/atom) = 0.053
- E above lowest polymorph (eV/f.u.) = 0.11
- theoretical density (g/cm³) = 6.86

***

(4)
A plane-wave DFT calculation with PBE was carried out for a relaxed structure of Sm2ThSc8.

a b c (Å): 8.686 8.686 5.453
angles (deg): 104.80 104.80 121.57
Fractional coordinates of all 11 atoms:
Sm1 0.194 0.806 0.000
Sm2 0.806 0.194 0.000
Th1 0.500 0.500 0.500
Sc1 0.064 0.064 0.293
Sc2 0.178 0.405 0.822
Sc3 0.290 0.710 0.500
Sc4 0.405 0.178 0.822
Sc5 0.595 0.822 0.178
Sc6 0.710 0.290 0.500
Sc7 0.822 0.595 0.178
Sc8 0.936 0.936 0.707

- ΔH_f (0 K) (eV/atom) = 0.165
- theoretical density (g/cm³) = 4.96

***

(5)
A plane-wave DFT calculation with PBE was carried out for a relaxed structure of Sm6ThSc.

a b c (Å): 5.065 5.065 10.072
angles (deg): 90.00 90.00 90.00
Fractional coordinates of all 8 atoms:
Sm1 0.000 0.000 0.000
Sm2 0.000 0.000 0.500
Sm3 0.000 0.500 0.247
Sm4 0.000 0.500 0.753
Sm5 0.500 0.000 0.247
Sm6 0.500 0.000 0.753
Th1 0.500 0.500 0.500
Sc1 0.500 0.500 0.000

- ΔH_f (0 K) (eV/atom) = 0.057
- theoretical density (g/cm³) = 7.58

***

(6)
A plane-wave DFT calculation with PBE was carried out for a relaxed structure of Sm5Th4Sc4.

a b c (Å): 9.246 9.246 9.246
angles (deg): 94.15 94.15 148.78
Fractional coordinates of all 13 atoms:
Sm1 0.000 0.000 0.000
Sm2 0.305 0.541 0.846
Sm3 0.459 0.305 0.764
Sm4 0.541 0.695 0.236
Sm5 0.695 0.459 0.154
Th1 0.075 0.382 0.457
Th2 0.382 0.925 0.307
Th3 0.618 0.075 0.693
Th4 0.925 0.618 0.543
Sc1 0.156 0.765 0.921
Sc2 0.235 0.156 0.391
Sc3 0.765 0.844 0.609
Sc4 0.844 0.235 0.079

- ΔH_f (0 K) (eV/atom) = 0.055
- theoretical density (g/cm³) = 7.82

***

(7)
A plane-wave DFT calculation with PBE was carried out for a relaxed structure of SmThSc2.

a b c (Å): 3.474 3.474 32.677
angles (deg): 90.00 90.00 120.00
Fractional coordinates of all 12 atoms:
Sm1 0.000 0.000 0.000
Sm2 0.333 0.667 0.667
Sm3 0.667 0.333 0.333
Th1 0.000 0.000 0.500
Th2 0.333 0.667 0.167
Th3 0.667 0.333 0.833
Sc1 0.000 0.000 0.248
Sc2 0.000 0.000 0.752
Sc3 0.333 0.667 0.419
Sc4 0.333 0.667 0.915
Sc5 0.667 0.333 0.085
Sc6 0.667 0.333 0.581

- ΔH_f (0 K) (eV/atom) = 0.052
- E above lowest polymorph (eV/f.u.) = 0.11
- theoretical density (g/cm³) = 6.89

***

(8)
A plane-wave DFT calculation with PBE was carried out for a relaxed structure of SmTh5Sc4.

a b c (Å): 3.482 3.482 24.178
angles (deg): 90.00 90.00 90.00
Fractional coordinates of all 10 atoms:
Sm1 0.000 0.000 0.000
Th1 0.500 0.500 0.109
Th2 0.500 0.500 0.305
Th3 0.500 0.500 0.500
Th4 0.500 0.500 0.695
Th5 0.500 0.500 0.891
Sc1 0.000 0.000 0.207
Sc2 0.000 0.000 0.402
Sc3 0.000 0.000 0.598
Sc4 0.000 0.000 0.793

- ΔH_f (0 K) (eV/atom) = 0.039
- theoretical density (g/cm³) = 8.44